A geometry-optimized HfCdCoPd structure, computed with GGA-PBE.

Cell: 4.5348 4.5348 4.5348 Å, 60.00 60.00 60.00°
Site moments in Bohr magnetons follow the coordinates.
Positions (direct):
Co: 0.7500 0.7500 0.7500  0.77
Cd: 0.0000 0.0000 0.0000  0.00
Pd: 0.2500 0.2500 0.2500  0.07
Hf: 0.5000 0.5000 0.5000  -0.08

symmetry = F-43m (216)
calculated total energy = -6.10 eV/atom
DOS at the Fermi energy = 0.63 states/eV per atom

A geometry-optimized UGa2Ir structure, computed with GGA-PBE.

Cell: 4.2771 4.2771 5.3381 Å, 66.38 66.38 60.00°
Site moments in Bohr magnetons follow the coordinates.
Positions (direct):
Ga: 0.7213 0.7213 0.8362  -0.01
Ga: 0.2787 0.2787 0.1638  -0.01
Ir: 0.0000 0.0000 0.0000  -0.13
U: 0.5000 0.5000 0.5000  1.91

symmetry = R-3m (166)
calculated total energy = -6.79 eV/atom
DOS at the Fermi energy = 1.55 states/eV per atom

A geometry-optimized Tb3PrSm6Er2 structure, computed with GGA-PBE.

Cell: 6.2320 6.2320 11.9158 Å, 94.99 94.99 119.97°
Positions (direct):
Sm: 0.9158 0.5813 0.7493
Sm: 0.4187 0.0842 0.2507
Sm: 0.5813 0.9158 0.7493
Sm: 0.0842 0.4187 0.2507
Sm: 0.2503 0.2503 0.7494
Sm: 0.7497 0.7497 0.2506
Er: 0.3334 0.6666 0.0000
Er: 0.6666 0.3334 0.0000
Tb: 0.5000 0.5000 0.5000
Tb: 0.8330 0.1670 0.5000
Tb: 0.1670 0.8330 0.5000
Pr: 0.0000 0.0000 0.0000

symmetry = C2/m (12)
calculated total energy = -4.66 eV/atom
DOS at the Fermi energy = 1.27 states/eV per atom

A geometry-optimized Sr3Tl4In4 structure, computed with GGA-PBE.

Cell: 5.1445 4.5067 15.7232 Å, 80.68 80.20 89.81°
Positions (direct):
Tl: 0.2535 0.2472 0.4886
Tl: 0.9071 0.2998 0.1843
Tl: 0.7464 0.7529 0.5114
Tl: 0.0928 0.7003 0.8157
Sr: 0.0000 0.0000 0.0000
Sr: 0.3528 0.8560 0.2906
Sr: 0.6472 0.1440 0.7094
In: 0.8115 0.3348 0.3733
In: 0.5472 0.4748 0.9056
In: 0.4528 0.5252 0.0944
In: 0.1885 0.6652 0.6267

polymorph energy (0 for the lowest one) = 0.0 kJ/mol of formula units
symmetry = P-1 (2)
DOS at the Fermi energy = 0.41 states/eV per atom

A geometry-optimized TbPmPr14 structure, computed with GGA-PBE.

Cell: 7.3938 7.3938 10.4810 Å, 90.00 90.00 89.99°
Positions (direct):
Tb: 0.8751 0.1249 0.0000
Pr: 0.8748 0.6248 0.0000
Pr: 0.6256 0.8756 0.2482
Pr: 0.8753 0.6253 0.5000
Pr: 0.6258 0.3742 0.7516
Pr: 0.3751 0.6249 0.5000
Pr: 0.3747 0.1247 0.5000
Pr: 0.1244 0.3744 0.2482
Pr: 0.6258 0.3742 0.2484
Pr: 0.6256 0.8756 0.7518
Pr: 0.3752 0.1252 0.0000
Pr: 0.1242 0.8758 0.7520
Pr: 0.8749 0.1251 0.5000
Pr: 0.1244 0.3744 0.7518
Pr: 0.1242 0.8758 0.2480
Pm: 0.3750 0.6250 0.0000

symmetry = P4/mmm (123)
calculated total energy = -4.76 eV/atom
DOS at the Fermi energy = 1.66 states/eV per atom

A geometry-optimized CsHgO3 structure, computed with GGA-PBE.

Cell: 4.4587 4.4587 4.4587 Å, 90.00 90.00 90.00°
Site moments in Bohr magnetons follow the coordinates.
Positions (direct):
Cs: 0.0000 0.0000 0.0000  0.04
O: 0.5000 0.0000 0.5000  0.46
O: 0.0000 0.5000 0.5000  0.46
O: 0.5000 0.5000 0.0000  0.46
Hg: 0.5000 0.5000 0.5000  0.03

symmetry = Pm-3m (221)
DOS at the Fermi energy = 1.37 states/eV per atom
uncorrected formation energy = -26 meV/atom

Number 1: density 11490 kg/m3. Number 2: density 12617 kg/m3. Number 3: density 7800 kg/m3. Number 4: density 7215 kg/m3. Number 5: density 6598 kg/m3. Number 6: density 7147 kg/m3.